{
  "formula": "TlTcH3",
  "functional": "GGA-PBE",
  "state": "relaxed",
  "de_polymorph_mev_per_atom": 0.0,
  "total_magnetization_mub_per_atom": 0.099,
  "density_g_cm3": 10.3,
  "spacegroup": "No. 221",
  "lattice_angstrom": [[3.6677, 0.0000, 0.0000], [0.0000, 3.6677, 0.0000], [0.0000, 0.0000, 3.6677]],
  "species": ["Tl", "Tc", "H", "H", "H"],
  "fractional_positions": [[0.0000, 0.0000, 0.0000], [0.5000, 0.5000, 0.5000], [0.0000, 0.5000, 0.5000], [0.5000, 0.0000, 0.5000], [0.5000, 0.5000, 0.0000]]
}